CdHF2 after structural relaxation. Source: the Alexandria database, functional PBE.

Results
* energy above the most stable polymorph in this dataset: 2.34 kcal/mol of atoms
* crystal system: trigonal

a b c (Å): 3.2930 3.2930 17.4962
angles (deg): 90.00 90.00 120.00
Space group R-3m (No. 166, hexagonal axes)
Asymmetric unit:
Cd1 0.0000 0.0000 0.0000 x3
H1 0.0000 0.0000 0.5000 x3
F1 0.0000 0.0000 0.4341 x6